! Al3Ag | Alexandria via LeMat-Bulk | meta-GGA SCAN | PBEsol geometry; values from VASP
&SYSTEM
  ibrav = 0, nat = 8, ntyp = 2
/
ATOMIC_SPECIES
Al 26.98 Al.upf
Ag 107.87 Ag.upf
CELL_PARAMETERS angstrom
5.052 0.000 0.000
0.000 5.744 0.000
-1.650 0.000 4.501
ATOMIC_POSITIONS crystal
Al 0.000 0.122 0.250
Al 0.000 0.375 0.750
Al 0.000 0.625 0.250
Al 0.000 0.878 0.750
Al 0.500 0.132 0.750
Al 0.500 0.868 0.250
Ag 0.500 0.362 0.250
Ag 0.500 0.638 0.750
! Total DFT energy (no corrections) (eV per cell): -109.4
! Density (g/cm3): 4.8
! Space group: No. 13

! Al5Ag | Alexandria via LeMat-Bulk | meta-GGA SCAN | PBEsol geometry; values from VASP
&SYSTEM
  ibrav = 0, nat = 6, ntyp = 2
/
ATOMIC_SPECIES
Al 26.98 Al.upf
Ag 107.87 Ag.upf
CELL_PARAMETERS angstrom
4.786 0.000 0.000
0.000 1.414 7.284
0.000 -1.414 7.284
ATOMIC_POSITIONS crystal
Al 0.000 0.000 0.000
Al 0.000 0.332 0.332
Al 0.000 0.665 0.665
Al 0.500 0.112 0.112
Al 0.500 0.445 0.445
Ag 0.500 0.780 0.780
! Total DFT energy (no corrections) (eV per cell): -69.9
! Density (g/cm3): 4.1
! Space group: No. 38

! Al5Ag | Alexandria via LeMat-Bulk | meta-GGA SCAN | PBEsol geometry; values from VASP
&SYSTEM
  ibrav = 0, nat = 6, ntyp = 2
/
ATOMIC_SPECIES
Al 26.98 Al.upf
Ag 107.87 Ag.upf
CELL_PARAMETERS angstrom
5.214 0.000 0.000
-2.607 4.516 0.000
0.000 0.000 4.660
ATOMIC_POSITIONS crystal
Al 0.000 0.500 0.000
Al 0.333 0.667 0.500
Al 0.500 0.000 0.000
Al 0.500 0.500 0.000
Al 0.667 0.333 0.500
Ag 0.000 0.000 0.500
! Total DFT energy (no corrections) (eV per cell): -68.4
! Density (g/cm3): 3.7
! Space group: No. 191

! Al6Ag | Alexandria via LeMat-Bulk | meta-GGA SCAN | PBEsol geometry; values from VASP
&SYSTEM
  ibrav = 0, nat = 7, ntyp = 2
/
ATOMIC_SPECIES
Al 26.98 Al.upf
Ag 107.87 Ag.upf
CELL_PARAMETERS angstrom
-1.438 1.994 9.919
1.438 -1.994 9.919
1.438 1.994 -9.919
ATOMIC_POSITIONS crystal
Al 0.072 0.072 0.000
Al 0.214 0.214 0.000
Al 0.356 0.356 0.000
Al 0.644 0.644 0.000
Al 0.786 0.786 0.000
Al 0.928 0.928 0.000
Ag 0.500 0.500 0.000
! Total DFT energy (no corrections) (eV per cell): -77.9
! Density (g/cm3): 3.9
! Space group: No. 71

! Al7Ag5 | Alexandria via LeMat-Bulk | meta-GGA SCAN | PBEsol geometry; values from VASP
&SYSTEM
  ibrav = 0, nat = 12, ntyp = 2
/
ATOMIC_SPECIES
Al 26.98 Al.upf
Ag 107.87 Ag.upf
CELL_PARAMETERS angstrom
5.460 0.000 0.000
2.475 4.985 0.000
2.549 -0.325 7.198
ATOMIC_POSITIONS crystal
Al 0.000 0.000 0.000
Al 0.000 0.500 0.000
Al 0.008 0.166 0.331
Al 0.495 0.333 0.668
Al 0.500 0.500 0.000
Al 0.505 0.667 0.332
Al 0.992 0.834 0.669
Ag 0.006 0.665 0.332
Ag 0.491 0.832 0.665
Ag 0.500 0.000 0.000
Ag 0.509 0.168 0.335
Ag 0.994 0.335 0.668
! Total DFT energy (no corrections) (eV per cell): -211.7
! Density (g/cm3): 6.2
! Space group: No. 2

! Al5Ag3 | Alexandria via LeMat-Bulk | meta-GGA SCAN | PBEsol geometry; values from VASP
&SYSTEM
  ibrav = 0, nat = 8, ntyp = 2
/
ATOMIC_SPECIES
Al 26.98 Al.upf
Ag 107.87 Ag.upf
CELL_PARAMETERS angstrom
2.868 -3.917 0.000
2.868 3.917 0.000
0.000 0.000 5.777
ATOMIC_POSITIONS crystal
Al 0.000 0.000 0.000
Al 0.000 0.000 0.495
Al 0.000 0.500 0.248
Al 0.500 0.000 0.248
Al 0.500 0.500 0.518
Ag 0.000 0.500 0.743
Ag 0.500 0.000 0.743
Ag 0.500 0.500 0.025
! Total DFT energy (no corrections) (eV per cell): -133.3
! Density (g/cm3): 5.9
! Space group: No. 35